Entry 1:
{"formula": "Na2Dy2Br7", "functional": "GGA-PBE", "state": "optimized geometry", "cell": [[6.150, -4.372, 0.000], [6.150, 4.372, 0.000], [-0.375, 0.000, 7.043]], "species": ["Na", "Na", "Dy", "Dy", "Br", "Br", "Br", "Br", "Br", "Br", "Br"], "fractional_positions": [[0.240, 0.760, 0.000], [0.760, 0.240, 0.000], [0.269, 0.269, 0.566], [0.731, 0.731, 0.434], [0.005, 0.591, 0.740], [0.079, 0.079, 0.750], [0.409, 0.995, 0.260], [0.500, 0.500, 0.500], [0.591, 0.005, 0.740], [0.921, 0.921, 0.250], [0.995, 0.409, 0.260]], "total_energy_ev_per_cell": -40.7}


Entry 2:
{"formula": "Cu5Te3I12", "functional": "GGA-PBE", "state": "optimized geometry", "cell": [[-8.876, 8.876, 8.876], [8.876, -8.876, 8.876], [8.876, 8.876, -8.876]], "species": ["Cu", "Cu", "Cu", "Cu", "Cu", "Cu", "Cu", "Cu", "Cu", "Cu", "Cu", "Cu", "Cu", "Cu", "Cu", "Cu", "Cu", "Cu", "Cu", "Cu", "Te", "Te", "Te", "Te", "Te", "Te", "Te", "Te", "Te", "Te", "Te", "Te", "I", "I", "I", "I", "I", "I", "I", "I", "I", "I", "I", "I", "I", "I", "I", "I", "I", "I", "I", "I", "I", "I", "I", "I", "I", "I", "I", "I", "I", "I", "I", "I", "I", "I", "I", "I", "I", "I", "I", "I", "I", "I", "I", "I", "I", "I", "I", "I"], "fractional_positions": [[0.000, 0.000, 0.000], [0.000, 0.000, 0.500], [0.000, 0.500, 0.000], [0.000, 0.500, 0.500], [0.125, 0.750, 0.875], [0.125, 0.875, 0.250], [0.250, 0.125, 0.875], [0.250, 0.625, 0.375], [0.375, 0.250, 0.625], [0.375, 0.625, 0.750], [0.500, 0.000, 0.000], [0.500, 0.000, 0.500], [0.500, 0.500, 0.000], [0.500, 0.500, 0.500], [0.625, 0.375, 0.250], [0.625, 0.750, 0.375], [0.750, 0.375, 0.625], [0.750, 0.875, 0.125], [0.875, 0.125, 0.750], [0.875, 0.250, 0.125], [0.125, 0.250, 0.375], [0.125, 0.375, 0.750], [0.250, 0.375, 0.125], [0.250, 0.875, 0.625], [0.375, 0.125, 0.250], [0.375, 0.750, 0.125], [0.625, 0.250, 0.875], [0.625, 0.875, 0.750], [0.750, 0.125, 0.375], [0.750, 0.625, 0.875], [0.875, 0.625, 0.250], [0.875, 0.750, 0.625], [0.016, 0.190, 0.132], [0.016, 0.326, 0.884], [0.058, 0.690, 0.674], [0.058, 0.868, 0.384], [0.116, 0.632, 0.442], [0.116, 0.984, 0.674], [0.132, 0.016, 0.190], [0.132, 0.616, 0.942], [0.174, 0.190, 0.558], [0.174, 0.484, 0.616], [0.190, 0.132, 0.016], [0.190, 0.558, 0.174], [0.310, 0.326, 0.942], [0.310, 0.484, 0.368], [0.326, 0.884, 0.016], [0.326, 0.942, 0.310], [0.368, 0.310, 0.484], [0.368, 0.558, 0.884], [0.384, 0.058, 0.868], [0.384, 0.826, 0.516], [0.442, 0.116, 0.632], [0.442, 0.826, 0.810], [0.484, 0.368, 0.310], [0.484, 0.616, 0.174], [0.516, 0.384, 0.826], [0.516, 0.632, 0.690], [0.558, 0.174, 0.190], [0.558, 0.884, 0.368], [0.616, 0.174, 0.484], [0.616, 0.942, 0.132], [0.632, 0.442, 0.116], [0.632, 0.690, 0.516], [0.674, 0.058, 0.690], [0.674, 0.116, 0.984], [0.690, 0.516, 0.632], [0.690, 0.674, 0.058], [0.810, 0.442, 0.826], [0.810, 0.868, 0.984], [0.826, 0.516, 0.384], [0.826, 0.810, 0.442], [0.868, 0.384, 0.058], [0.868, 0.984, 0.810], [0.884, 0.016, 0.326], [0.884, 0.368, 0.558], [0.942, 0.132, 0.616], [0.942, 0.310, 0.326], [0.984, 0.674, 0.116], [0.984, 0.810, 0.868]], "total_energy_ev_per_cell": -186.9}


Entry 3:
{"formula": "CeSmPS", "functional": "GGA-PBE", "state": "optimized geometry", "cell": [[2.033, 1.174, 6.645], [-2.033, 1.174, 6.645], [0.000, -2.347, 6.645]], "species": ["Ce", "Sm", "P", "S"], "fractional_positions": [[0.000, 0.000, 0.000], [0.503, 0.503, 0.503], [0.252, 0.252, 0.252], [0.752, 0.752, 0.752]], "total_energy_ev_per_cell": -27.5}


Entry 4:
{"formula": "LiZrZn", "functional": "GGA-PBE", "state": "optimized geometry", "cell": [[-1.405, 2.218, 4.261], [1.405, -2.218, 4.261], [1.405, 2.218, -4.261]], "species": ["Li", "Zr", "Zn"], "fractional_positions": [[0.000, 0.000, 0.000], [0.324, 0.324, 0.000], [0.666, 0.666, 0.000]], "e_above_lowest_polymorph_ev_per_atom": 0.172}


Entry 5:
{"formula": "TaCrIr2", "functional": "GGA-PBE", "state": "optimized geometry", "cell": [[2.832, 0.000, 0.000], [0.000, 4.448, 0.000], [0.000, 0.000, 4.794]], "species": ["Ta", "Cr", "Ir", "Ir"], "fractional_positions": [[0.000, 0.000, 0.000], [0.000, 0.500, 0.621], [0.500, 0.000, 0.517], [0.500, 0.500, 0.157]], "e_above_lowest_polymorph_ev_per_atom": 0.087}


Entry 6:
{"formula": "Ti2ReAu", "functional": "GGA-PBE", "state": "optimized geometry", "cell": [[3.207, 0.000, 0.000], [0.000, 3.207, 0.000], [0.000, 0.000, 6.267]], "species": ["Ti", "Ti", "Re", "Au"], "fractional_positions": [[0.000, 0.000, 0.231], [0.000, 0.000, 0.769], [0.500, 0.500, 0.000], [0.500, 0.500, 0.500]], "total_energy_ev_per_cell": -33.3}


Entry 7:
{"formula": "AgC3Se", "functional": "GGA-PBE", "state": "optimized geometry", "cell": [[4.199, 0.000, 0.000], [0.000, 4.199, 0.000], [0.000, 0.000, 4.199]], "species": ["Ag", "C", "C", "C", "Se"], "fractional_positions": [[0.000, 0.000, 0.000], [0.000, 0.000, 0.500], [0.000, 0.500, 0.000], [0.500, 0.000, 0.000], [0.500, 0.500, 0.500]], "e_above_lowest_polymorph_ev_per_atom": 0.382}


Entry 8:
{"formula": "MnCoOs", "functional": "GGA-PBE", "state": "optimized geometry", "cell": [[4.269, -1.308, 0.000], [4.269, 1.308, 0.000], [-3.005, 0.000, 6.595]], "species": ["Mn", "Mn", "Co", "Co", "Os", "Os"], "fractional_positions": [[0.000, 0.000, 0.000], [0.000, 0.000, 0.500], [0.331, 0.331, 0.658], [0.669, 0.669, 0.342], [0.336, 0.336, 0.175], [0.664, 0.664, 0.825]], "e_above_lowest_polymorph_ev_per_atom": 0.045}